A plane-wave DFT calculation with PBE-GGA was carried out for MgBe2Tc after structural relaxation.

a = 3.0280 Å, b = 3.0280 Å, c = 5.6330 Å
α = 90.00°, β = 90.00°, γ = 89.99°
With the nearest neighbours (Å) after each atom.
Element x y z (fractional)
Be 0.0000 0.0000 0.9380  1 Be 2.12
Be 0.0000 0.0000 0.5620  1 Be 2.12
Mg 0.5000 0.5000 0.2500  8 Be 2.77, 2 Tc 2.82, 4 Mg 3.03
Tc 0.5000 0.5000 0.7500  8 Be 2.39

* formation energy from the elements: 0.038 eV per atom
* polymorph energy (0 for the lowest one): 2 meV/atom
* total magnetization: 0.00 μB/cell
* symmetry: P4/mmm (123)
* volume: 12.9 A^3/atom